# 1
Computed, not measured: crystalline BeAlNiW at its relaxed geometry at the PBE-GGA level of DFT.

Cell lengths 5.851, 5.851, 5.851 Å; angles 90.00, 90.00, 90.00 degrees
Space group F-43m (No. 216)
Symmetry-distinct sites (fractional):
Be 0.000 0.000 0.000
Al 0.250 0.250 0.250
Ni 0.000 0.000 0.500
W 0.250 0.250 0.750

Properties
Its total energy is -6.41 eV/atom. For the volume, the calculation gives 200.31 Å³ per cell. The calculation puts the density at 9.2 Mg/m³.

=====

# 2
Computed, not measured: crystalline Dy2HoCd3AgAu2 at its relaxed geometry at the PBE-GGA level of DFT.

Cell lengths 3.829, 13.613, 7.861 Å; angles 90.00, 90.00, 90.00 degrees
Space group Amm2 (No. 38)
Symmetry-distinct sites (fractional):
Dy 0.000 0.204 0.000
Ho 0.000 0.000 0.387
Cd 0.500 0.000 0.059
Cd 0.500 0.131 0.664
Ag 0.000 0.000 0.796
Au 0.500 0.167 0.296

Properties
Its total energy is -3.45 eV/atom. For the volume, the calculation gives 409.80 Å³ per cell. As for the calculated formation energy: -0.581 eV per atom. The calculation puts the density at 10.8 Mg/m³.

=====

# 3
Computed, not measured: crystalline Y3Fe2Co6Ni at its relaxed geometry at the PBE-GGA level of DFT.

Cell lengths 5.0157, 5.0157, 24.0430 Å; angles 90.00, 90.00, 120.00 degrees
Space group R-3m (No. 166, hexagonal axes)
Symmetry-distinct sites (fractional):
Y 0.0000 0.0000 0.0000
Y 0.0000 0.0000 0.1401
Fe 0.0000 0.0000 0.3334
Co 0.0009 0.5004 0.0804
Ni 0.0000 0.0000 0.5000

Properties
Its total energy is -7.20 eV/atom. For the volume, the calculation gives 523.83 Å³ per cell. As for the calculated formation energy: -0.177 eV per atom. The calculation puts the density at 7.5 Mg/m³.

=====

# 4
Computed, not measured: crystalline Nd3PO7 at its relaxed geometry at the PBE-GGA level of DFT.

Cell lengths 12.958, 13.213, 12.232 Å; angles 90.00, 108.69, 90.00 degrees
Space group Cm (No. 8)
Symmetry-distinct sites (fractional):
Nd 0.000 0.153 0.000
Nd 0.027 0.172 0.675
Nd 0.173 0.328 0.916
Nd 0.178 0.311 0.228
Nd 0.183 0.328 0.541
Nd 0.330 0.172 0.782
Nd 0.356 0.154 0.457
Nd 0.359 0.156 0.118
Nd 0.497 0.344 0.340
P 0.011 0.500 0.964
P 0.012 0.500 0.344
P 0.175 0.000 0.909
P 0.184 0.000 0.549
P 0.342 0.500 0.114
P 0.345 0.500 0.493
O 0.005 0.248 0.840
O 0.009 0.226 0.173
O 0.016 0.255 0.506
O 0.020 0.403 0.037
O 0.064 0.000 0.936
O 0.077 0.404 0.337
O 0.088 0.000 0.434
O 0.106 0.500 0.909
O 0.177 0.097 0.840
O 0.177 0.213 0.065
O 0.178 0.288 0.728
O 0.179 0.214 0.392
O 0.181 0.097 0.617
O 0.251 0.500 0.549
O 0.272 0.000 0.022
O 0.275 0.404 0.118
O 0.294 0.000 0.522
O 0.335 0.403 0.419
O 0.341 0.256 0.951
O 0.347 0.228 0.284
O 0.352 0.248 0.616
O 0.374 0.500 0.001
O 0.402 0.000 0.244
O 0.404 0.000 0.857
O 0.448 0.500 0.219
O 0.453 0.500 0.597
O 0.487 0.000 0.461

Properties
Its total energy is -8.13 eV/atom. For the volume, the calculation gives 1983.75 Å³ per cell. The calculation puts the density at 5.8 Mg/m³.

=====

# 5
Computed, not measured: crystalline NdSi2AgAu at its relaxed geometry at the PBE-GGA level of DFT.

Cell lengths 4.277, 4.277, 10.501 Å; angles 90.00, 90.00, 90.00 degrees
Space group I-4m2 (No. 119)
Symmetry-distinct sites (fractional):
Nd 0.000 0.000 0.000
Si 0.000 0.000 0.389
Ag 0.000 0.500 0.750
Au 0.000 0.500 0.250

Properties
Its total energy is -4.88 eV/atom. For the volume, the calculation gives 192.04 Å³ per cell. The calculation puts the density at 8.7 Mg/m³.

=====

# 6
Computed, not measured: crystalline BaNaGdSe3 at its relaxed geometry at the PBE-GGA level of DFT.

Cell lengths 10.943, 4.429, 14.359 Å; angles 90.00, 90.00, 90.00 degrees
Space group Pnma (No. 62)
Symmetry-distinct sites (fractional):
Ba 0.244 0.250 0.003
Na 0.242 0.750 0.775
Gd 0.008 0.750 0.252
Se 0.040 0.750 0.882
Se 0.056 0.250 0.384
Se 0.243 0.250 0.669

Properties
Its total energy is -4.74 eV/atom. For the volume, the calculation gives 696.01 Å³ per cell. The calculation puts the density at 5.3 Mg/m³.

=====

# 7
Computed, not measured: crystalline NbMo2 at its relaxed geometry at the PBE-GGA level of DFT.

Cell lengths 5.3004, 5.3004, 8.5447 Å; angles 90.00, 90.00, 120.00 degrees
Space group P6_3/mmc (No. 194)
Symmetry-distinct sites (fractional):
Nb 0.3333 0.6667 0.0517
Mo 0.0000 0.0000 0.0000
Mo 0.1705 0.3410 0.7500

Properties
Its total energy is -10.48 eV/atom. For the volume, the calculation gives 207.89 Å³ per cell. As for the calculated formation energy: 0.120 eV per atom. The calculation puts the density at 9.1 Mg/m³.

=====

# 8
Computed, not measured: crystalline SrSmAgTe3 at its relaxed geometry at the PBE-GGA level of DFT.

Cell lengths 8.538, 4.437, 10.689 Å; angles 90.00, 105.10, 90.00 degrees
Space group P2_1/m (No. 11)
Symmetry-distinct sites (fractional):
Sr 0.241 0.250 0.293
Sm 0.307 0.750 0.836
Ag 0.084 0.250 0.589
Te 0.053 0.250 0.846
Te 0.277 0.750 0.537
Te 0.425 0.750 0.143

Properties
Its total energy is -4.33 eV/atom. For the volume, the calculation gives 390.95 Å³ per cell. The calculation puts the density at 6.2 Mg/m³.

=====

# 9
Computed, not measured: crystalline DySc2 at its relaxed geometry at the PBE-GGA level of DFT.

Cell lengths 8.750, 8.750, 8.750 Å; angles 90.00, 90.00, 90.00 degrees
Space group Fd-3m (No. 227, origin choice 2)
Symmetry-distinct sites (fractional):
Dy 0.125 0.125 0.125
Sc 0.000 0.000 0.500

Properties
Its total energy is -5.52 eV/atom. For the volume, the calculation gives 670.00 Å³ per cell. As for the calculated formation energy: 0.230 eV per atom. The calculation puts the density at 5.0 Mg/m³.

=====

# 10
Computed, not measured: crystalline Zn4Si3 at its relaxed geometry at the PBE-GGA level of DFT.

Cell lengths 7.3629, 7.3629, 4.5587 Å; angles 90.00, 90.00, 120.00 degrees
Space group P6_3/m (No. 176)
Symmetry-distinct sites (fractional):
Zn 0.0588 0.2395 0.2500
Zn 0.3333 0.6667 0.2500
Si 0.0958 0.4871 0.7500

Properties
Its total energy is -2.72 eV/atom. For the volume, the calculation gives 214.04 Å³ per cell. The calculation puts the density at 5.4 Mg/m³.

=====

# 11
Computed, not measured: crystalline GdErSn2Pd4 at its relaxed geometry at the PBE-GGA level of DFT.

Cell lengths 4.5848, 4.5848, 8.9439 Å; angles 90.00, 90.00, 120.00 degrees
Space group P-6m2 (No. 187)
Symmetry-distinct sites (fractional):
Gd 0.0000 0.0000 0.0000
Er 0.3333 0.6667 0.5000
Sn 0.6667 0.3333 0.2514
Pd 0.0000 0.0000 0.3363
Pd 0.3333 0.6667 0.1669

Properties
Its total energy is -5.63 eV/atom. For the volume, the calculation gives 162.81 Å³ per cell. The calculation puts the density at 10.1 Mg/m³.

=====

# 12
Computed, not measured: crystalline TlCo2Pt at its relaxed geometry at the PBE-GGA level of DFT.

Cell lengths 6.243, 6.243, 6.243 Å; angles 90.00, 90.00, 90.00 degrees
Space group F-43m (No. 216)
Symmetry-distinct sites (fractional):
Tl 0.000 0.000 0.000
Co 0.000 0.000 0.500
Co 0.250 0.250 0.750
Pt 0.250 0.250 0.250

Properties
Its total energy is -5.28 eV/atom. For the volume, the calculation gives 243.33 Å³ per cell. The calculation puts the density at 14.1 Mg/m³.